# 1
Here is a geometry-optimized LiTaCu2Mo structure from Alexandria via LeMat-Bulk. Energies are from PBE-GGA.

Properties
**DFT formation energy**: 0.85 eV/atom

Unit cell a=3.9340 b=3.9340 c=4.5734 alpha=90.00 beta=90.00 gamma=90.00
Fractional coordinates of all 5 atoms:
Li (0.0000, 0.0000, 0.0000)
Ta (0.0000, 0.0000, 0.5000)
Cu (0.0000, 0.5000, 0.0000)
Cu (0.5000, 0.0000, 0.0000)
Mo (0.5000, 0.5000, 0.5000)

=====

# 2
Here is a geometry-optimized LiCuTeMo2 structure from Alexandria via LeMat-Bulk. Energies are from PBE-GGA.

Properties
**ΔE_f (raw)**: 1.51 eV/atom

Unit cell a=4.9791 b=4.9791 c=4.7750 alpha=90.00 beta=90.00 gamma=90.00
Fractional coordinates of all 5 atoms:
Li (0.0000, 0.0000, 0.0000)
Cu (0.5000, 0.5000, 0.0000)
Te (0.5000, 0.5000, 0.5000)
Mo (0.0000, 0.5000, 0.5000)
Mo (0.5000, 0.0000, 0.5000)

=====

# 3
Here is a geometry-optimized Li8CuN3 structure from Alexandria via LeMat-Bulk. Energies are from PBE-GGA.

Properties
**ΔE_f (raw)**: -0.36 eV/atom

Unit cell a=5.2792 b=5.2792 c=7.3772 alpha=98.23 beta=98.23 gamma=40.57
Fractional coordinates of all 12 atoms:
Li (0.0311, 0.0311, 0.3685)
Li (0.3058, 0.3058, 0.9776)
Li (0.3260, 0.3260, 0.3383)
Li (0.3860, 0.3860, 0.7188)
Li (0.6140, 0.6140, 0.2812)
Li (0.6740, 0.6740, 0.6617)
Li (0.6942, 0.6942, 0.0224)
Li (0.9689, 0.9689, 0.6315)
Cu (0.0000, 0.0000, 0.0000)
N (0.1632, 0.1632, 0.1647)
N (0.5000, 0.5000, 0.5000)
N (0.8368, 0.8368, 0.8353)

=====

# 4
Here is a geometry-optimized LiCuN2 structure from Alexandria via LeMat-Bulk. Energies are from PBE-GGA.

Properties
**ΔE_f (raw)**: 1.02 eV/atom
**Energy above the lowest structure with this stoichiometry**: 139 meV per atom

Unit cell a=3.6029 b=3.6029 c=3.6029 alpha=60.00 beta=60.00 gamma=60.00
Fractional coordinates of all 4 atoms:
Li (0.0000, 0.0000, 0.0000)
Cu (0.5000, 0.5000, 0.5000)
N (0.2500, 0.2500, 0.2500)
N (0.7500, 0.7500, 0.7500)

=====

# 5
Here is a geometry-optimized LiCuN structure from Alexandria via LeMat-Bulk. Energies are from PBE-GGA.

Properties
**ΔE_f (raw)**: 0.34 eV/atom
**Energy above the lowest structure with this stoichiometry**: 174 meV per atom

Unit cell a=4.9591 b=4.9591 c=5.3643 alpha=90.00 beta=90.00 gamma=139.08
Fractional coordinates of all 6 atoms:
Li (0.1470, 0.8530, 0.7500)
Li (0.8530, 0.1470, 0.2500)
Cu (0.1292, 0.8708, 0.2500)
Cu (0.8708, 0.1292, 0.7500)
N (0.3699, 0.6301, 0.7500)
N (0.6301, 0.3699, 0.2500)

=====

# 6
Here is a geometry-optimized LiCuN2 structure from Alexandria via LeMat-Bulk. Energies are from PBE-GGA.

Properties
**ΔE_f (raw)**: 0.92 eV/atom
**Energy above the lowest structure with this stoichiometry**: 41 meV per atom

Unit cell a=5.2188 b=5.2188 c=5.2188 alpha=125.93 beta=125.93 gamma=80.00
Fractional coordinates of all 8 atoms:
Li (0.0000, 0.0000, 0.0000)
Li (0.7500, 0.2500, 0.5000)
Cu (0.2500, 0.7500, 0.5000)
Cu (0.5000, 0.5000, 0.0000)
N (0.1688, 0.6250, 0.0438)
N (0.3750, 0.4188, 0.5438)
N (0.5812, 0.1250, 0.9562)
N (0.8750, 0.8312, 0.4562)

=====

no.,Fermi-level density of states (states/eV/atom)
1,0.45
2,1.35
3,0.00
4,0.96
5,0.61
6,0.88